No. 1
DFT (GGA-PBE) results for an optimized crystal structure of Nd2YZr.

Values from the calculation:
**Energy of formation from the pure elements**: 0.870 eV/f.u.
**Polymorph energy (0 for the lowest one)**: 92 meV/atom
**E_tot**: -23.68 eV per formula unit

```
Nd2YZr
1.0
5.568 0.000 0.000
2.784 4.822 0.000
2.784 1.607 4.546
Y Nd Zr
1 2 1
Cartesian
5.568 3.215 2.273
2.784 1.607 1.137
8.352 4.822 3.410
0.000 0.000 0.000
```

No. 2
DFT (GGA-PBE) results for an optimized crystal structure of Nd6Y8Zr.

Values from the calculation:
**Energy of formation from the pure elements**: 1.897 eV/f.u.
**E_tot**: -86.97 eV per formula unit

```
Nd6Y8Zr
1.0
2.857 -3.924 7.221
1.965 -8.451 -0.650
8.443 -2.088 0.244
Nd Y Zr
6 8 1
Cartesian
10.005 -8.997 6.368
5.432 -2.889 1.689
2.866 -4.247 3.803
10.399 -10.216 3.013
7.833 -11.574 5.127
3.260 -5.466 0.447
8.125 -8.082 0.526
4.825 -9.047 1.243
8.783 -5.013 2.101
7.656 -8.347 3.933
5.610 -6.116 2.882
4.482 -9.450 4.715
8.440 -5.415 5.572
5.141 -6.380 6.289
0.000 0.000 0.000
```

No. 3
DFT (GGA-PBE) results for an optimized crystal structure of NdYZr.

Values from the calculation:
**Energy of formation from the pure elements**: 1.624 eV/f.u.
**Polymorph energy (0 for the lowest one)**: 433 meV/atom
**E_tot**: -18.16 eV per formula unit

```
NdYZr
1.0
4.136 0.000 0.000
0.000 4.136 0.000
-2.068 -2.068 11.302
Zr Y Nd
2 2 2
Cartesian
0.000 0.000 1.290
2.068 2.068 10.013
2.068 2.068 2.445
0.000 0.000 8.857
2.068 2.068 6.775
0.000 0.000 4.527
```